TcSeN2F: optimized geometry, PBE-GGA.

Summary:
Energy relative to the lowest polymorph listed for this composition (meV per atom): 0
Formation energy without anion corrections (eV per atom): 0.4316
Space-group type: P4/mmm (123)
Total magnetic moment (μB per formula unit): 0.0

Unit cell a=3.7666 b=3.7666 c=5.1901 alpha=90.00 beta=90.00 gamma=90.00
With the nearest neighbours (Å) after each atom.
Fractional positions:
1 N 0.0000 0.5000 0.0000  2 Tc 1.88
2 N 0.5000 0.0000 0.0000  2 Tc 1.88
3 Tc 0.0000 0.0000 0.0000  4 N 1.88
4 Se 0.0000 0.0000 0.5000  2 Tc 2.60, 4 F 2.66
5 F 0.5000 0.5000 0.5000  4 Se 2.66

***

Er5Te5N: optimized geometry, PBE-GGA.

Summary:
Formation energy without anion corrections (eV per atom): -1.2718
Space-group type: C2/m (12)
Total magnetic moment (μB per formula unit): 0.0

Unit cell a=5.9527 b=7.1805 c=8.2971 alpha=107.55 beta=90.00 gamma=114.49
With the nearest neighbours (Å) after each atom.
Fractional positions:
1 Er 0.8528 0.7057 0.1368  1 N 2.54
2 Er 0.8647 0.7295 0.7257  1 N 2.37
3 Er 0.5000 0.0000 0.0000  2 N 2.98, 4 Te 2.99
4 Er 0.1353 0.2705 0.2743  1 N 2.37
5 Er 0.1472 0.2943 0.8632  1 N 2.54
6 Te 0.6782 0.3563 0.3370  5 Er 2.99-3.34
7 Te 0.6574 0.3148 0.8079  5 Er 2.99-3.06
8 Te 0.0000 0.0000 0.5000  4 Er 2.97-2.99
9 Te 0.3426 0.6852 0.1921  5 Er 2.99-3.06
10 Te 0.3218 0.6437 0.6630  5 Er 2.99-3.34
11 N 0.0000 0.0000 0.0000  4 Er 2.37-2.54

***

LaCe2P3: optimized geometry, PBE-GGA.

Summary:
Space-group type: Immm (71)
E_form (eV per atom): -1.513
Total magnetic moment (μB per formula unit): 1.2

Unit cell a=4.1495 b=5.8799 c=7.1976 alpha=114.11 beta=106.75 gamma=90.00
With the nearest neighbours (Å) after each atom.
Fractional positions:
1 La 0.5000 0.5000 0.5000  6 P 2.94-3.00
2 Ce 0.8342 0.8342 0.1683  6 P 2.88-2.94
3 Ce 0.1658 0.1658 0.8317  6 P 2.88-2.94
4 P 0.8263 0.3263 0.1526  4 Ce 2.88-2.94, 2 La 3.00
5 P 0.1737 0.6737 0.8474  4 Ce 2.88-2.94, 2 La 3.00
6 P 0.5000 0.0000 0.5000  4 Ce 2.93, 2 La 2.94

***

InW3: optimized geometry, PBE-GGA.

Summary:
Space-group type: P2/m (10)
E_form (eV per atom): 0.448
Total magnetic moment (μB per formula unit): 0.0

Unit cell a=4.4974 b=2.7915 c=5.6256 alpha=76.30 beta=90.00 gamma=90.00
With the nearest neighbours (Å) after each atom.
Fractional positions:
1 In 0.0000 0.0000 0.0000  2 In 2.79, 6 W 2.83-2.89
2 W 0.5000 0.7181 0.7412  6 W 2.77-2.88, 2 In 2.89
3 W 0.0000 0.5000 0.5000  6 W 2.77-2.79, 2 In 2.83
4 W 0.5000 0.2819 0.2588  6 W 2.77-2.88, 2 In 2.89

***

Ho3HfSi6: optimized geometry, PBE-GGA.

Summary:
Formation energy without anion corrections (eV per atom): -0.6104
Space-group type: R-3c (167)
Total magnetic moment (μB per formula unit): 0.0

Unit cell a=7.3579 b=7.3579 c=7.3579 alpha=97.33 beta=97.33 gamma=97.33
With the nearest neighbours (Å) after each atom.
Fractional positions:
1 Ho 0.1851 0.7500 0.3149  10 Si 2.93-3.24
2 Ho 0.3149 0.1851 0.7500  10 Si 2.93-3.24
3 Ho 0.2500 0.6851 0.8149  10 Si 2.93-3.24
4 Ho 0.7500 0.3149 0.1851  10 Si 2.93-3.24
5 Ho 0.6851 0.8149 0.2500  10 Si 2.93-3.24
6 Ho 0.8149 0.2500 0.6851  10 Si 2.93-3.24
7 Hf 0.0000 0.0000 0.0000  6 Si 2.74
8 Hf 0.5000 0.5000 0.5000  6 Si 2.74
9 Si 0.9098 0.6252 0.9839  2 Si 2.39-2.42
10 Si 0.0161 0.0902 0.3748  2 Si 2.39-2.42
11 Si 0.1252 0.4098 0.4840  2 Si 2.39-2.42
12 Si 0.3748 0.0161 0.0902  2 Si 2.39-2.42
13 Si 0.4098 0.4840 0.1252  2 Si 2.39-2.42
14 Si 0.5160 0.8748 0.5902  2 Si 2.39-2.42
15 Si 0.4840 0.1252 0.4098  2 Si 2.39-2.42
16 Si 0.5902 0.5160 0.8748  2 Si 2.39-2.42
17 Si 0.6252 0.9839 0.9098  2 Si 2.39-2.42
18 Si 0.8748 0.5902 0.5160  2 Si 2.39-2.42
19 Si 0.9839 0.9098 0.6252  2 Si 2.39-2.42
20 Si 0.0902 0.3748 0.0161  2 Si 2.39-2.42

***

FeAsSeBr2: optimized geometry, PBE-GGA.

Summary:
Energy relative to the lowest polymorph listed for this composition (meV per atom): 0
Formation energy without anion corrections (eV per atom): 0.4232
Space-group type: P4/mmm (123)
Total magnetic moment (μB per formula unit): 1.8

Unit cell a=4.8056 b=4.8056 c=4.7034 alpha=90.00 beta=90.00 gamma=90.00
With the nearest neighbours (Å) after each atom.
Fractional positions:
1 As 0.5000 0.5000 0.5000  8 Br 3.36, 4 Se 3.40
2 Se 0.0000 0.0000 0.5000  2 Fe 2.35
3 Br 0.0000 0.5000 0.0000  2 Fe 2.40
4 Br 0.5000 0.0000 0.0000  2 Fe 2.40
5 Fe 0.0000 0.0000 0.0000  2 Se 2.35, 4 Br 2.40

***

SrSb2Ir: optimized geometry, PBE-GGA.

Summary:
Formation energy without anion corrections (eV per atom): -0.5454
Space-group type: C2/m (12)
Total magnetic moment (μB per formula unit): 0.0

Unit cell a=4.3767 b=4.3767 c=6.8034 alpha=71.75 beta=71.75 gamma=59.36
With the nearest neighbours (Å) after each atom.
Fractional positions:
1 Sb 0.9723 0.9723 0.0837  3 Ir 2.73
2 Sb 0.5277 0.5277 0.4163  3 Ir 2.73
3 Ir 0.2500 0.2500 0.2500  6 Sb 2.73
4 Sr 0.7500 0.7500 0.7500  6 Sb 3.28-3.29

***

PrDy12Ho3: optimized geometry, PBE-GGA.

Summary:
Space-group type: P4/mmm (123)
E_form (eV per atom): 0.020
Total magnetic moment (μB per formula unit): 0.0

Unit cell a=5.0185 b=5.0185 c=20.0683 alpha=90.00 beta=90.00 gamma=90.00
With the nearest neighbours (Å) after each atom.
Fractional positions:
1 Pr 0.0000 0.0000 0.0000  12 Dy 3.55-3.58
2 Dy 0.5000 0.5000 0.0000  4 Pr 3.55, 8 Dy 3.58
3 Dy 0.5000 0.5000 0.2520  8 Dy 3.53-3.54, 4 Ho 3.55
4 Dy 0.5000 0.5000 0.5000  8 Dy 3.54, 4 Ho 3.55
5 Dy 0.5000 0.5000 0.7480  8 Dy 3.53-3.54, 4 Ho 3.55
6 Dy 0.5000 0.0000 0.1273  2 Ho 3.53, 8 Dy 3.54-3.58, 2 Pr 3.58
7 Dy 0.5000 0.0000 0.3757  8 Dy 3.53-3.55, 4 Ho 3.54
8 Dy 0.5000 0.0000 0.6243  8 Dy 3.53-3.55, 4 Ho 3.54
9 Dy 0.5000 0.0000 0.8727  2 Ho 3.53, 8 Dy 3.54-3.58, 2 Pr 3.58
10 Dy 0.0000 0.5000 0.1273  2 Ho 3.53, 8 Dy 3.54-3.58, 2 Pr 3.58
11 Dy 0.0000 0.5000 0.3757  8 Dy 3.53-3.55, 4 Ho 3.54
12 Dy 0.0000 0.5000 0.6243  8 Dy 3.53-3.55, 4 Ho 3.54
13 Dy 0.0000 0.5000 0.8727  2 Ho 3.53, 8 Dy 3.54-3.58, 2 Pr 3.58
14 Ho 0.0000 0.0000 0.2513  12 Dy 3.53-3.55
15 Ho 0.0000 0.0000 0.5000  12 Dy 3.54-3.55
16 Ho 0.0000 0.0000 0.7487  12 Dy 3.53-3.55

***

CrCoCuSn: optimized geometry, PBE-GGA.

Summary:
Space-group type: F-43m (216)
E_form (eV per atom): 0.178
Total magnetic moment (μB per formula unit): 2.6

Unit cell a=4.3156 b=4.3156 c=4.3156 alpha=60.00 beta=60.00 gamma=60.00
With the nearest neighbours (Å) after each atom.
Fractional positions:
1 Cr 0.7500 0.7500 0.7500  4 Co 2.64, 4 Cu 2.64
2 Co 0.0000 0.0000 0.0000  4 Cr 2.64, 4 Sn 2.64
3 Sn 0.2500 0.2500 0.2500  4 Co 2.64, 4 Cu 2.64
4 Cu 0.5000 0.5000 0.5000  4 Sn 2.64, 4 Cr 2.64

***

ZnSi4Au: optimized geometry, PBE-GGA.

Summary:
Formation energy without anion corrections (eV per atom): 0.5101
Space-group type: F-43m (216)
Total magnetic moment (μB per formula unit): 0.0

Unit cell a=5.1693 b=5.1693 c=5.1693 alpha=60.00 beta=60.00 gamma=60.00
With the nearest neighbours (Å) after each atom.
Fractional positions:
1 Zn 0.7500 0.7500 0.7500  12 Si 3.03, 4 Au 3.17
2 Si 0.8732 0.3756 0.3756  6 Si 2.57-2.60
3 Si 0.3756 0.3756 0.8732  6 Si 2.57-2.60
4 Si 0.3756 0.8732 0.3756  6 Si 2.57-2.60
5 Si 0.3756 0.3756 0.3756  6 Si 2.57-2.60
6 Au 0.0000 0.0000 0.0000  12 Si 3.03, 4 Zn 3.17

***

Dy8Bi2Ru: optimized geometry, PBE-GGA.

Summary:
Space-group type: C2/m (12)
E_form (eV per atom): -0.356
Total magnetic moment (μB per formula unit): 0.0

Unit cell a=4.6825 b=7.2123 c=9.8932 alpha=97.56 beta=103.69 gamma=90.00
With the nearest neighbours (Å) after each atom.
Fractional positions:
1 Dy 0.4060 0.4869 0.8121  2 Bi 3.36, 9 Dy 3.48-3.68
2 Dy 0.6371 0.0397 0.2741  1 Ru 2.61
3 Dy 0.7853 0.6534 0.5706  3 Bi 3.27-3.28, 6 Dy 3.38-3.61
4 Dy 0.9983 0.2256 0.9966  2 Ru 2.85
5 Dy 0.2147 0.3466 0.4294  3 Bi 3.27-3.28, 6 Dy 3.38-3.61
6 Dy 0.3629 0.9603 0.7259  1 Ru 2.61
7 Dy 0.5940 0.5131 0.1879  2 Bi 3.36, 9 Dy 3.48-3.68
8 Dy 0.0017 0.7744 0.0034  2 Ru 2.85
9 Bi 0.8171 0.2172 0.6342  9 Dy 3.18-3.52
10 Bi 0.1829 0.7828 0.3658  9 Dy 3.18-3.52
11 Ru 0.5000 0.0000 0.0000  6 Dy 2.61-2.85

***

MgCdSn: optimized geometry, PBE-GGA.

Summary:
Space-group type: P1 (1)
E_form (eV per atom): -0.032
Total magnetic moment (μB per formula unit): 0.0

Unit cell a=3.3084 b=8.9658 c=5.2319 alpha=109.17 beta=90.00 gamma=79.35
With the nearest neighbours (Å) after each atom.
Fractional positions:
1 Mg 0.1756 0.8763 0.2309  5 Sn 3.09-3.19, 3 Cd 3.19-3.30, 2 Mg 3.31
2 Mg 0.8516 0.5266 0.2451  5 Sn 3.09-3.19, 3 Cd 3.19-3.30, 2 Mg 3.31
3 Sn 0.3467 0.5368 0.7530  5 Mg 3.09-3.19, 3 Cd 3.27-3.37, 4 Sn 3.31-3.39
4 Sn 0.6812 0.8662 0.7232  5 Mg 3.09-3.19, 3 Cd 3.27-3.37, 4 Sn 3.31-3.39
5 Cd 0.5143 0.2014 0.2385  6 Cd 3.09-3.31, 2 Sn 3.27, 4 Mg 3.29-3.30
6 Cd 0.0144 0.2015 0.7385  6 Cd 3.09-3.31, 2 Mg 3.19, 4 Sn 3.36-3.37